# 1
# Rb3Ag

A relaxed structure of Rb3Ag (PBE-GGA, Alexandria).

Unit cell a=6.103 b=6.103 c=6.103 alpha=90.00 beta=90.00 gamma=90.00
Space group Pm-3m (No. 221)
One atom of each set of equivalent atoms:
Rb 0.000 0.000 0.500 [3 per cell]
Ag 0.500 0.500 0.500 [1 per cell]

## Properties
The calculation puts the volume at 56.83 Å³/atom. For the energy of formation, the calculation gives 129 meV per atom. The polymorph energy (0 for the lowest one) is 85.8 meV per atom. For the calculated density, the calculation gives 2.7 Mg/m³. As for the crystal system: cubic. Its total energy is -5.24 eV per cell.

# 2
# RbAg2

A relaxed structure of RbAg2 (PBE-GGA, Alexandria).

Unit cell a=5.535 b=5.535 c=11.979 alpha=90.00 beta=90.00 gamma=90.00
Space group I4/mcm (No. 140)
One atom of each set of equivalent atoms:
Rb 0.000 0.000 0.250 [4 per cell]
Ag 0.180 0.320 0.000 [8 per cell]

## Properties
The calculation puts the volume at 30.58 Å³/atom. For the energy of formation, the calculation gives 63 meV per atom. For the calculated density, the calculation gives 5.5 Mg/m³. As for the crystal system: tetragonal. Its total energy is -25.92 eV per cell.

# 3
# Rb13Ag2

A relaxed structure of Rb13Ag2 (PBE-GGA, Alexandria).

Unit cell a=8.716 b=11.237 c=13.357 alpha=65.71 beta=84.12 gamma=82.88
Space group P-1 (No. 2)
One atom of each set of equivalent atoms:
Rb 0.000 0.000 0.000 [1 per cell]
Rb 0.071 0.846 0.690 [2 per cell]
Rb 0.156 0.688 0.386 [2 per cell]
Rb 0.230 0.546 0.073 [2 per cell]
Rb 0.307 0.385 0.771 [2 per cell]
Rb 0.387 0.229 0.461 [2 per cell]
Rb 0.461 0.075 0.154 [2 per cell]
Ag 0.191 0.117 0.728 [2 per cell]

## Properties
The calculation puts the volume at 78.75 Å³/atom. For the energy of formation, the calculation gives 34 meV per atom. For the calculated density, the calculation gives 1.9 Mg/m³. As for the crystal system: triclinic. Its total energy is -17.78 eV per cell.

The highest volume belongs to which entry?
Rb13Ag2